# 1
The following is a DFT calculation (GGA-PBE) of GdGeAuSe3 after structural relaxation.

Calculated values
For the energy, the calculation gives -4.58 eV per atom.

```
GdGeAuSe3
1.0
6.830 -1.983 0.000
6.830 1.983 0.000
0.000 0.000 10.757
Gd Se Ge Au
2 6 2 2
Cartesian
6.830 0.000 5.379
6.830 0.000 0.000
2.065 0.000 0.644
5.489 0.000 2.689
11.595 0.000 6.022
11.595 0.000 10.114
2.065 0.000 4.735
8.171 0.000 8.068
9.531 0.000 2.689
4.129 0.000 8.068
13.245 0.000 8.068
0.415 0.000 2.689
```

---

# 2
The following is a DFT calculation (GGA-PBE) of Gd2SiGeAu2 after structural relaxation.

Calculated values
For the energy, the calculation gives -5.14 eV per atom.

```
Gd2SiGeAu2
1.0
-0.300 -2.848 -3.361
-1.447 -1.156 4.009
-6.861 2.719 -1.692
Gd Au Ge Si
2 2 1 1
Cartesian
-0.013 0.005 -0.003
-3.434 1.361 -0.847
-6.430 0.406 0.229
-2.522 -1.555 -1.358
-5.553 -0.354 -2.106
-2.571 -1.123 1.181
```

---

# 3
The following is a DFT calculation (GGA-PBE) of SmGdGe2Au2 after structural relaxation.

Calculated values
For the energy, the calculation gives -5.03 eV per atom.

```
SmGdGe2Au2
1.0
4.508 0.000 0.000
-2.254 3.904 0.000
0.000 0.000 7.471
Ge Au Sm Gd
2 2 1 1
Cartesian
0.000 2.603 1.596
2.254 1.301 5.298
2.254 1.301 2.186
0.000 2.603 5.845
0.000 0.000 0.017
0.000 0.000 3.747
```

---

# 4
The following is a DFT calculation (GGA-PBE) of Sm2GdGe4Au4 after structural relaxation.

Calculated values
For the energy, the calculation gives -4.84 eV per atom.

```
Sm2GdGe4Au4
1.0
-2.215 3.550 7.369
2.215 -3.550 7.369
2.215 3.550 -7.369
Au Ge Sm Gd
4 4 2 1
Cartesian
0.000 2.131 4.910
2.215 1.420 -2.459
2.215 1.420 2.459
0.000 2.131 9.827
0.000 0.000 3.183
0.000 1.315 7.369
0.000 0.000 11.555
2.215 2.235 0.000
2.215 0.000 5.493
0.000 3.550 1.876
0.000 0.000 0.000
```

---

# 5
The following is a DFT calculation (GGA-PBE) of GdTmGe2Au2 after structural relaxation.

Calculated values
For the energy, the calculation gives -4.98 eV per atom.

```
GdTmGe2Au2
1.0
4.477 0.000 0.000
-2.238 3.877 0.000
0.000 0.000 7.300
Ge Au Tm Gd
2 2 1 1
Cartesian
0.000 2.585 1.543
2.238 1.292 5.146
2.238 1.292 2.200
0.000 2.585 5.714
0.000 0.000 3.650
0.000 0.000 0.007
```

---

# 6
The following is a DFT calculation (GGA-PBE) of GdY2Ge4Au4 after structural relaxation.

Calculated values
For the energy, the calculation gives -5.16 eV per atom.

```
GdY2Ge4Au4
1.0
-2.181 3.548 7.307
2.181 -3.548 7.307
2.181 3.548 -7.307
Y Au Gd Ge
2 4 1 4
Cartesian
2.181 0.000 5.462
0.000 3.548 1.845
0.000 2.121 4.868
0.000 2.121 9.747
2.181 1.427 -2.440
2.181 1.427 2.440
0.000 0.000 0.000
0.000 0.000 3.168
0.000 1.303 7.307
0.000 0.000 11.447
2.181 2.245 0.000
```

---

# 7
The following is a DFT calculation (GGA-PBE) of GdYGe2Au2 after structural relaxation.

Calculated values
For the energy, the calculation gives -5.33 eV per atom.

```
GdYGe2Au2
1.0
-3.296 -2.147 2.162
4.284 -1.043 0.837
0.193 5.073 5.331
Ge Gd Y Au
2 1 1 2
Cartesian
-0.632 1.818 5.500
1.798 -0.342 2.402
0.000 0.009 0.010
0.097 2.544 2.674
1.909 2.580 5.472
-0.713 -0.298 3.277
```

---

# 8
The following is a DFT calculation (GGA-PBE) of Gd2YGe4Au4 after structural relaxation.

Calculated values
For the energy, the calculation gives -4.99 eV per atom.

```
Gd2YGe4Au4
1.0
-2.195 3.540 7.323
2.195 -3.540 7.323
2.195 3.540 -7.323
Ge Au Gd Y
4 4 2 1
Cartesian
0.000 0.000 3.165
0.000 0.000 11.482
2.195 2.234 0.000
0.000 1.306 7.323
0.000 2.116 9.768
0.000 2.116 4.878
2.195 1.424 2.445
2.194 1.424 -2.445
2.195 0.000 5.466
0.000 3.540 1.857
0.000 0.000 0.000
```

---

# 9
The following is a DFT calculation (GGA-PBE) of GdHgAu after structural relaxation.

Calculated values
For the energy, the calculation gives -3.06 eV per atom. Its energy of formation from the pure elements is -0.32 eV/atom. For the excess energy over the best structure of this formula in the dataset, the calculation gives 200 meV per atom.

```
GdHgAu
1.0
0.000 3.459 3.459
3.459 0.000 3.459
3.459 3.459 0.000
Au Gd Hg
1 1 1
Cartesian
1.729 1.729 1.729
0.000 0.000 0.000
5.188 5.188 5.188
```

---

# 10
The following is a DFT calculation (GGA-PBE) of GdHgAu after structural relaxation.

Calculated values
For the energy, the calculation gives -3.26 eV per atom. Its energy of formation from the pure elements is -0.52 eV/atom. For the excess energy over the best structure of this formula in the dataset, the calculation gives 0 meV per atom.

```
GdHgAu
1.0
-0.374 -4.605 -1.372
-4.284 -2.206 0.105
-2.240 -1.113 -4.120
Gd Hg Au
1 1 1
Cartesian
-1.724 -1.981 -1.347
-5.173 -5.943 -4.040
0.000 0.000 0.000
```

---

# 11
The following is a DFT calculation (GGA-PBE) of Gd3InHg2Pt2Au after structural relaxation.

Calculated values
For the energy, the calculation gives -4.47 eV per atom.

```
Gd3InHg2Pt2Au
1.0
-1.041 3.706 0.042
-5.491 -1.481 -5.386
-1.648 -0.549 7.638
Au Gd Pt Hg In
1 3 2 2 1
Cartesian
-0.055 -0.016 0.017
-3.876 -1.150 5.406
-6.135 -1.698 -2.248
-4.309 -1.226 1.359
-3.420 1.003 3.234
-4.661 0.701 -0.972
-1.745 1.446 5.581
-4.539 0.769 -3.885
-2.418 1.313 0.619
```

---

# 12
The following is a DFT calculation (GGA-PBE) of LaGdHg2Au4 after structural relaxation.

Calculated values
For the energy, the calculation gives -3.51 eV per atom. Its energy of formation from the pure elements is -0.61 eV/atom.

```
LaGdHg2Au4
1.0
-2.602 -0.114 -4.307
-0.245 -5.020 0.281
-6.067 0.501 3.652
La Gd Hg Au
1 1 2 4
Cartesian
-4.457 -2.316 -0.187
0.000 0.000 0.000
-3.034 0.250 1.826
-1.424 -2.567 -2.013
-2.744 0.062 -1.285
-1.565 -2.391 1.009
-4.747 -2.128 2.925
-5.926 0.325 0.631
```

---

# 13
The following is a DFT calculation (GGA-PBE) of Gd3Mg3HgAu2 after structural relaxation.

Calculated values
For the energy, the calculation gives -3.41 eV per atom.

```
Gd3Mg3HgAu2
1.0
-4.627 -5.671 -2.336
7.625 -0.845 -0.417
0.032 -1.616 3.859
Au Gd Mg Hg
2 3 3 1
Cartesian
-0.527 -4.870 0.233
3.557 -3.261 0.873
1.749 -3.800 -1.606
3.178 -0.352 -0.174
-1.928 -2.364 -0.974
-3.445 -5.051 0.182
0.771 -2.449 1.236
5.720 -1.440 1.617
0.000 0.000 0.000
```

---

# 14
The following is a DFT calculation (GGA-PBE) of Gd3Mg3Hg2Au after structural relaxation.

Calculated values
For the energy, the calculation gives -3.00 eV per atom.

```
Gd3Mg3Hg2Au
1.0
-4.613 2.948 -5.429
6.451 -3.708 -2.020
-2.164 -3.679 -0.159
Hg Mg Gd Au
2 3 3 1
Cartesian
-2.007 -1.110 -4.372
1.681 -3.329 -3.236
3.823 -4.659 -1.615
-4.589 0.402 -4.207
-0.642 -2.022 -1.865
-1.876 1.199 -2.207
1.091 -0.451 -4.420
2.623 -1.508 -0.821
0.000 0.000 0.000
```

---

# 15
The following is a DFT calculation (GGA-PBE) of Gd3Mg2HgPt2Au after structural relaxation.

Calculated values
For the energy, the calculation gives -4.50 eV per atom.

```
Gd3Mg2HgPt2Au
1.0
-0.933 2.863 2.626
-6.547 -3.478 1.466
6.106 -1.762 4.090
Gd Mg Au Hg Pt
3 2 1 1 2
Cartesian
-2.887 -4.477 3.855
-0.187 -2.226 2.360
2.191 -3.788 4.908
-2.134 0.545 1.687
1.089 0.982 2.356
-0.011 -0.134 0.142
-0.795 -2.472 5.452
-2.874 -1.414 3.560
1.511 -0.819 4.469
```

---

# 16
The following is a DFT calculation (GGA-PBE) of Gd3MgHg2Pt2Au after structural relaxation.

Calculated values
For the energy, the calculation gives -4.34 eV per atom.

```
Gd3MgHg2Pt2Au
1.0
-0.457 0.987 -3.761
-4.651 -6.086 -1.032
-2.846 6.858 2.145
Mg Gd Hg Pt Au
1 3 2 2 1
Cartesian
-5.773 1.064 -1.057
-2.962 0.305 0.440
-1.726 3.991 1.257
-2.775 -3.528 -0.589
-5.617 -3.774 -2.346
-4.291 5.734 -0.012
-3.794 2.943 -0.804
-4.366 -1.163 -1.812
-7.322 0.754 1.087
```

---

# 17
The following is a DFT calculation (GGA-PBE) of Nd2GdHg3Pt2Au after structural relaxation.

Calculated values
For the energy, the calculation gives -4.16 eV per atom. Its energy of formation from the pure elements is -0.78 eV/atom.

```
Nd2GdHg3Pt2Au
1.0
-1.929 2.818 1.847
-3.934 -5.395 4.123
6.779 2.831 2.760
Hg Pt Nd Gd Au
3 2 2 1 1
Cartesian
-0.200 0.720 2.773
2.933 0.291 6.699
0.063 -1.913 7.064
-1.294 -1.228 4.602
2.221 1.471 4.155
5.182 0.642 4.431
-1.184 -4.246 5.241
1.689 -1.522 4.086
2.838 -2.558 6.866
```

---

# 18
The following is a DFT calculation (GGA-PBE) of Gd2Hg3Au3O12 after structural relaxation.

Calculated values
For the energy, the calculation gives -4.61 eV per atom. For the excess energy over the best structure of this formula in the dataset, the calculation gives 0 meV per atom.

```
Gd2Hg3Au3O12
1.0
1.704 -10.946 4.143
4.109 0.710 -11.068
5.748 7.745 6.845
O Gd Hg Au
48 8 12 12
Cartesian
6.622 0.414 -4.151
3.661 -6.107 5.715
10.009 -1.700 -1.550
9.362 4.653 -1.383
5.834 2.974 6.887
3.555 0.283 -3.819
3.101 -9.588 2.960
8.461 7.097 -3.040
5.334 -8.302 -5.817
5.024 -2.610 7.073
2.331 -3.762 1.786
7.067 0.549 -0.609
8.007 -2.773 3.739
5.513 -6.689 0.046
9.327 0.611 2.558
6.776 -7.312 -2.702
4.940 -2.905 4.072
9.231 1.272 -1.866
4.495 -3.039 0.529
7.432 -1.582 1.496
4.988 0.187 1.547
7.788 -3.878 6.538
3.774 1.387 -6.618
4.786 4.822 2.622
2.200 -7.143 1.303
7.901 3.617 -5.795
6.034 -2.275 -5.387
5.227 -5.331 3.170
5.728 -5.464 -6.967
7.790 2.875 1.288
7.879 -5.095 1.027
3.412 2.222 1.945
1.552 -0.791 1.470
3.148 -1.533 -6.194
6.228 5.812 5.737
2.234 -3.102 -2.638
6.704 1.507 3.748
6.049 4.199 -0.126
5.527 -0.216 5.307
8.414 -0.957 6.114
6.574 -2.677 -1.627
6.538 0.119 -7.153
3.682 2.605 -1.107
4.858 -3.998 -3.828
3.772 -5.365 -1.368
4.130 -0.908 -1.576
8.149 -4.713 -2.025
6.335 2.841 -3.250
2.874 3.873 3.422
2.055 0.355 -5.534
0.000 0.000 0.000
0.852 -5.473 2.072
4.929 4.228 -2.111
3.726 -1.600 5.494
5.781 -1.245 -0.040
2.907 -5.118 -3.462
5.451 2.069 -5.216
4.740 -1.147 -7.793
8.120 5.062 -4.033
5.560 2.371 1.163
6.917 -0.766 3.573
6.111 -4.559 5.136
6.002 -4.861 -1.243
9.177 0.469 0.278
4.644 -1.724 -3.652
6.822 -1.344 7.713
3.442 -7.553 3.953
2.385 -2.959 -0.358
6.270 5.586 3.740
3.191 0.834 -1.921
4.248 -3.759 2.389
3.095 0.257 2.219
3.538 -6.975 -0.187
5.464 1.793 5.304
5.292 -8.077 -3.820
7.314 1.269 -2.469
6.098 -4.283 -5.384
8.024 4.485 0.108
8.371 -3.325 1.841
8.466 -2.747 -2.299
```

---

# 19
The following is a DFT calculation (GGA-PBE) of PrGdHg2Au4 after structural relaxation.

Calculated values
For the energy, the calculation gives -3.48 eV per atom. Its energy of formation from the pure elements is -0.59 eV/atom.

```
PrGdHg2Au4
1.0
-0.777 -4.515 2.020
4.699 -1.313 -1.128
2.187 2.434 6.280
Hg Au Gd Pr
2 4 1 1
Cartesian
1.961 -2.914 0.446
1.094 1.217 3.140
1.274 -0.408 5.783
0.137 -1.673 2.518
2.874 -0.072 0.944
4.012 1.193 4.209
0.000 0.000 0.000
3.055 -1.697 3.587
```

---

# 20
The following is a DFT calculation (GGA-PBE) of PrGd2Hg3Pt2Au after structural relaxation.

Calculated values
For the energy, the calculation gives -4.16 eV per atom. Its energy of formation from the pure elements is -0.78 eV/atom.

```
PrGd2Hg3Pt2Au
1.0
3.892 0.000 0.000
0.000 6.793 3.905
0.000 -6.793 3.905
Pt Gd Pr Hg Au
2 2 1 3 1
Cartesian
1.946 -2.304 3.922
1.946 2.304 3.922
0.000 -2.761 6.219
0.000 2.761 6.219
0.000 0.000 3.169
1.946 0.000 5.725
1.946 -4.966 4.949
1.946 4.966 4.949
0.000 0.000 7.788
```